The following is a GGA+U calculation of an optimized crystal structure of CoAuBrO, from the Alexandria database.

Geometry as CIF:
```
data_CoAuBrO
_chemical_formula_sum 'Co2 Au2 Br2 O2'
_cell_length_a 8.637
_cell_length_b 3.430
_cell_length_c 6.681
_cell_angle_alpha 90.00
_cell_angle_beta 124.61
_cell_angle_gamma 90.00
_symmetry_space_group_name_H-M 'C 1 m 1'
_symmetry_Int_Tables_number 8
loop_
_symmetry_equiv_pos_as_xyz
'x,y,z'
'x,-y,z'
'x+1/2,y+1/2,z'
'x+1/2,-y+1/2,z'
loop_
_atom_site_label
_atom_site_type_symbol
_atom_site_fract_x
_atom_site_fract_y
_atom_site_fract_z
Co1 Co 0.000 0.000 0.000
Au1 Au 0.096 0.000 0.683
Br1 Br 0.257 0.500 0.370
O1 O 0.376 0.000 0.949
```

The following is a GGA+U calculation of an optimized crystal structure of CoAuBrO, from the Alexandria database.

- density of states at the Fermi level (states/eV per cell) = 2.0

Geometry as CIF:
```
data_CoAuBrO
_chemical_formula_sum 'Co1 Au1 Br1 O1'
_cell_length_a 2.955
_cell_length_b 2.963
_cell_length_c 9.565
_cell_angle_alpha 91.48
_cell_angle_beta 97.26
_cell_angle_gamma 111.50
_symmetry_space_group_name_H-M 'P 1'
_symmetry_Int_Tables_number 1
loop_
_symmetry_equiv_pos_as_xyz
'x,y,z'
loop_
_atom_site_label
_atom_site_type_symbol
_atom_site_fract_x
_atom_site_fract_y
_atom_site_fract_z
Co1 Co 0.000 0.000 0.000
Au1 Au 0.437 0.752 0.239
Br1 Br 0.617 0.805 0.546
O1 O 0.604 0.348 0.937
```

The following is a GGA+U calculation of an optimized crystal structure of CoAuBrO, from the Alexandria database.

- density of states at the Fermi level (states/eV per cell) = 0.3

Geometry as CIF:
```
data_CoAuBrO
_chemical_formula_sum 'Co2 Au2 Br2 O2'
_cell_length_a 3.477
_cell_length_b 3.884
_cell_length_c 13.182
_cell_angle_alpha 90.00
_cell_angle_beta 90.00
_cell_angle_gamma 90.00
_symmetry_space_group_name_H-M 'A m m 2'
_symmetry_Int_Tables_number 38
loop_
_symmetry_equiv_pos_as_xyz
'x,y,z'
'-x,-y,z'
'-x,y,z'
'x,-y,z'
'x,y+1/2,z+1/2'
'-x,-y+1/2,z+1/2'
'-x,y+1/2,z+1/2'
'x,-y+1/2,z+1/2'
loop_
_atom_site_label
_atom_site_type_symbol
_atom_site_fract_x
_atom_site_fract_y
_atom_site_fract_z
Co1 Co 0.000 0.000 0.000
Au1 Au 0.000 0.000 0.371
Br1 Br 0.000 0.000 0.742
O1 O 0.500 0.000 0.023
```

The following is a GGA+U calculation of an optimized crystal structure of CoAuBrO, from the Alexandria database.

- density of states at the Fermi level (states/eV per cell) = 1.0

Geometry as CIF:
```
data_CoAuBrO
_chemical_formula_sum 'Co1 Au1 Br1 O1'
_cell_length_a 2.775
_cell_length_b 5.122
_cell_length_c 6.557
_cell_angle_alpha 88.66
_cell_angle_beta 78.66
_cell_angle_gamma 74.33
_symmetry_space_group_name_H-M 'P 1'
_symmetry_Int_Tables_number 1
loop_
_symmetry_equiv_pos_as_xyz
'x,y,z'
loop_
_atom_site_label
_atom_site_type_symbol
_atom_site_fract_x
_atom_site_fract_y
_atom_site_fract_z
Co1 Co 0.000 0.000 0.000
Au1 Au 0.713 0.488 0.091
Br1 Br 0.630 0.035 0.681
O1 O 0.462 0.919 0.169
```

The following is a GGA+U calculation of an optimized crystal structure of CoAuBrO, from the Alexandria database.

Geometry as CIF:
```
data_CoAuBrO
_chemical_formula_sum 'Co1 Au1 Br1 O1'
_cell_length_a 3.450
_cell_length_b 3.475
_cell_length_c 7.375
_cell_angle_alpha 88.15
_cell_angle_beta 76.96
_cell_angle_gamma 60.38
_symmetry_space_group_name_H-M 'P 1'
_symmetry_Int_Tables_number 1
loop_
_symmetry_equiv_pos_as_xyz
'x,y,z'
loop_
_atom_site_label
_atom_site_type_symbol
_atom_site_fract_x
_atom_site_fract_y
_atom_site_fract_z
Co1 Co 0.000 0.000 0.000
Au1 Au 0.395 0.865 0.355
Br1 Br 0.064 0.217 0.676
O1 O 0.625 0.686 0.065
```

The following is a GGA+U calculation of an optimized crystal structure of CoAuBrO, from the Alexandria database.

Geometry as CIF:
```
data_CoAuBrO
_chemical_formula_sum 'Co2 Au2 Br2 O2'
_cell_length_a 5.976
_cell_length_b 3.457
_cell_length_c 7.310
_cell_angle_alpha 90.00
_cell_angle_beta 106.30
_cell_angle_gamma 90.00
_symmetry_space_group_name_H-M 'C 1 m 1'
_symmetry_Int_Tables_number 8
loop_
_symmetry_equiv_pos_as_xyz
'x,y,z'
'x,-y,z'
'x+1/2,y+1/2,z'
'x+1/2,-y+1/2,z'
loop_
_atom_site_label
_atom_site_type_symbol
_atom_site_fract_x
_atom_site_fract_y
_atom_site_fract_z
Co1 Co 0.000 0.000 0.000
Au1 Au 0.040 0.500 0.621
Br1 Br 0.425 0.000 0.271
O1 O 0.138 0.500 0.917
```

The following is a GGA+U calculation of an optimized crystal structure of CoAuBrO, from the Alexandria database.

Geometry as CIF:
```
data_CoAuBrO
_chemical_formula_sum 'Co1 Au1 Br1 O1'
_cell_length_a 3.469
_cell_length_b 3.879
_cell_length_c 7.220
_cell_angle_alpha 105.17
_cell_angle_beta 98.41
_cell_angle_gamma 90.12
_symmetry_space_group_name_H-M 'P 1'
_symmetry_Int_Tables_number 1
loop_
_symmetry_equiv_pos_as_xyz
'x,y,z'
loop_
_atom_site_label
_atom_site_type_symbol
_atom_site_fract_x
_atom_site_fract_y
_atom_site_fract_z
Co1 Co 0.000 0.000 0.000
Au1 Au 0.907 0.379 0.752
Br1 Br 0.807 0.759 0.506
O1 O 0.512 0.024 0.049
```

Number 1: energy above the most stable polymorph in this dataset 108 meV/atom, total DFT energy (no corrections) -4.014 eV per atom. Number 2: energy above the most stable polymorph in this dataset 231 meV/atom, total DFT energy (no corrections) -3.891 eV per atom. Number 3: energy above the most stable polymorph in this dataset 255 meV/atom, total DFT energy (no corrections) -3.867 eV per atom. Number 4: energy above the most stable polymorph in this dataset 443 meV/atom, total DFT energy (no corrections) -3.679 eV per atom. Number 5: energy above the most stable polymorph in this dataset 20 meV/atom, total DFT energy (no corrections) -4.102 eV per atom. Number 6: energy above the most stable polymorph in this dataset 0 meV/atom, total DFT energy (no corrections) -4.122 eV per atom. Number 7: energy above the most stable polymorph in this dataset 255 meV/atom, total DFT energy (no corrections) -3.867 eV per atom.